(1)
VASP calculation (meta-GGA SCAN) on Ti2S at its PBEsol-relaxed geometry.

E_tot	-543.8	eV/cell
volume	14.1	Å³ per atom
space-group type	No. 58
uncorrected formation energy	-1.210	eV/atom

The structure in POSCAR format:
```
Ti2S
1.0
11.218 0.000 0.000
0.000 13.835 0.000
0.000 0.000 3.282
Ti S
24 12
direct
0.031 0.110 0.000
0.087 0.744 0.500
0.088 0.579 0.000
0.120 0.422 0.500
0.154 0.980 0.500
0.190 0.208 0.500
0.310 0.708 0.000
0.346 0.480 0.000
0.380 0.922 0.000
0.412 0.079 0.500
0.413 0.244 0.000
0.469 0.610 0.500
0.531 0.390 0.500
0.587 0.756 0.000
0.588 0.921 0.500
0.620 0.078 0.000
0.654 0.520 0.000
0.690 0.292 0.000
0.810 0.792 0.500
0.846 0.020 0.500
0.880 0.578 0.500
0.912 0.421 0.000
0.913 0.256 0.500
0.969 0.890 0.000
0.068 0.294 0.000
0.185 0.850 0.000
0.245 0.588 0.500
0.255 0.088 0.000
0.315 0.350 0.500
0.432 0.794 0.500
0.568 0.206 0.500
0.685 0.650 0.500
0.745 0.912 0.000
0.755 0.412 0.500
0.815 0.150 0.000
0.932 0.706 0.000
```

(2)
VASP calculation (meta-GGA SCAN) on Ti2S3 at its PBEsol-relaxed geometry.

E_tot	-137.8	eV/cell
volume	16.6	Å³ per atom
space-group type	No. 12
uncorrected formation energy	-1.589	eV/atom

The structure in POSCAR format:
```
Ti2S3
1.0
2.919 -5.056 0.000
2.919 5.056 0.000
-1.939 0.000 5.625
Ti S
4 6
direct
0.000 0.000 0.000
0.171 0.829 0.500
0.500 0.500 0.500
0.829 0.171 0.500
0.081 0.420 0.239
0.255 0.255 0.752
0.420 0.081 0.239
0.580 0.919 0.761
0.745 0.745 0.248
0.919 0.580 0.761
```

(3)
VASP calculation (meta-GGA SCAN) on Ti5S8 at its PBEsol-relaxed geometry.

E_tot	-177.7	eV/cell
E above lowest polymorph	0.00	kcal/mol of atoms
volume	17.2	Å³ per atom
space-group type	No. 12
uncorrected formation energy	-1.577	eV/atom

The structure in POSCAR format:
```
Ti5S8
1.0
5.720 -3.363 0.000
5.720 3.363 0.000
-5.666 0.000 5.820
Ti S
5 8
direct
0.000 0.000 0.000
0.255 0.255 0.009
0.262 0.738 0.500
0.738 0.262 0.500
0.745 0.745 0.991
0.041 0.041 0.334
0.046 0.541 0.829
0.456 0.456 0.668
0.459 0.954 0.171
0.541 0.046 0.829
0.544 0.544 0.332
0.954 0.459 0.171
0.959 0.959 0.666
```

(4)
VASP calculation (meta-GGA SCAN) on Ti5S8 at its PBEsol-relaxed geometry.

E_tot	-177.2	eV/cell
E above lowest polymorph	0.91	kcal/mol of atoms
volume	17.3	Å³ per atom
space-group type	No. 8
uncorrected formation energy	-1.538	eV/atom

The structure in POSCAR format:
```
Ti5S8
1.0
11.849 -1.677 0.000
11.849 1.677 0.000
-1.357 0.000 5.675
Ti S
5 8
direct
0.000 0.000 0.000
0.247 0.247 0.900
0.367 0.367 0.359
0.500 0.500 0.486
0.751 0.751 0.404
0.062 0.062 0.385
0.189 0.189 0.184
0.314 0.314 0.647
0.435 0.435 0.098
0.560 0.560 0.882
0.687 0.687 0.676
0.813 0.813 0.119
0.934 0.934 0.599
```

(5)
VASP calculation (meta-GGA SCAN) on Ti2S3 at its PBEsol-relaxed geometry.

E_tot	-275.1	eV/cell
volume	16.7	Å³ per atom
space-group type	No. 15
uncorrected formation energy	-1.565	eV/atom

The structure in POSCAR format:
```
Ti2S3
1.0
5.098 -2.930 0.000
5.098 2.930 0.000
-3.369 0.000 11.159
Ti S
8 12
direct
0.040 0.873 0.617
0.127 0.960 0.883
0.293 0.463 0.381
0.463 0.293 0.881
0.537 0.707 0.119
0.707 0.537 0.619
0.873 0.040 0.117
0.960 0.127 0.383
0.000 0.500 0.500
0.087 0.246 0.748
0.158 0.654 0.001
0.246 0.087 0.248
0.346 0.842 0.499
0.417 0.583 0.750
0.500 0.000 0.000
0.583 0.417 0.250
0.654 0.158 0.501
0.754 0.913 0.752
0.842 0.346 0.999
0.913 0.754 0.252
```

(6)
VASP calculation (meta-GGA SCAN) on Ti13S24 at its PBEsol-relaxed geometry.

E_tot	-495.1	eV/cell
volume	17.9	Å³ per atom
space-group type	No. 2
uncorrected formation energy	-1.503	eV/atom

The structure in POSCAR format:
```
Ti13S24
1.0
8.782 0.000 0.000
1.106 8.720 0.000
3.848 3.381 8.648
Ti S
13 24
direct
0.000 0.000 0.000
0.000 0.500 0.000
0.005 0.004 0.659
0.248 0.759 0.168
0.250 0.757 0.495
0.256 0.755 0.829
0.490 0.504 0.335
0.500 0.500 0.000
0.510 0.496 0.665
0.744 0.245 0.171
0.750 0.243 0.505
0.752 0.241 0.832
0.995 0.996 0.341
0.043 0.208 0.750
0.044 0.210 0.414
0.047 0.209 0.082
0.204 0.544 0.418
0.206 0.539 0.088
0.207 0.538 0.749
0.292 0.964 0.249
0.294 0.962 0.914
0.296 0.962 0.580
0.456 0.290 0.252
0.459 0.292 0.583
0.460 0.291 0.917
0.540 0.709 0.083
0.541 0.708 0.417
0.544 0.710 0.748
0.704 0.038 0.420
0.706 0.038 0.086
0.708 0.036 0.751
0.793 0.462 0.251
0.794 0.461 0.912
0.796 0.456 0.582
0.953 0.791 0.918
0.956 0.790 0.586
0.957 0.792 0.250
```

Repeat the second record exactly.
VASP calculation (meta-GGA SCAN) on Ti2S3 at its PBEsol-relaxed geometry.

E_tot	-137.8	eV/cell
volume	16.6	Å³ per atom
space-group type	No. 12
uncorrected formation energy	-1.589	eV/atom

The structure in POSCAR format:
```
Ti2S3
1.0
2.919 -5.056 0.000
2.919 5.056 0.000
-1.939 0.000 5.625
Ti S
4 6
direct
0.000 0.000 0.000
0.171 0.829 0.500
0.500 0.500 0.500
0.829 0.171 0.500
0.081 0.420 0.239
0.255 0.255 0.752
0.420 0.081 0.239
0.580 0.919 0.761
0.745 0.745 0.248
0.919 0.580 0.761
```

Question: Which of these has the lowest E_tot?
Answer: Ti2S

Please write out number 1 again, unchanged.
VASP calculation (meta-GGA SCAN) on Ti2S at its PBEsol-relaxed geometry.

E_tot	-543.8	eV/cell
volume	14.1	Å³ per atom
space-group type	No. 58
uncorrected formation energy	-1.210	eV/atom

The structure in POSCAR format:
```
Ti2S
1.0
11.218 0.000 0.000
0.000 13.835 0.000
0.000 0.000 3.282
Ti S
24 12
direct
0.031 0.110 0.000
0.087 0.744 0.500
0.088 0.579 0.000
0.120 0.422 0.500
0.154 0.980 0.500
0.190 0.208 0.500
0.310 0.708 0.000
0.346 0.480 0.000
0.380 0.922 0.000
0.412 0.079 0.500
0.413 0.244 0.000
0.469 0.610 0.500
0.531 0.390 0.500
0.587 0.756 0.000
0.588 0.921 0.500
0.620 0.078 0.000
0.654 0.520 0.000
0.690 0.292 0.000
0.810 0.792 0.500
0.846 0.020 0.500
0.880 0.578 0.500
0.912 0.421 0.000
0.913 0.256 0.500
0.969 0.890 0.000
0.068 0.294 0.000
0.185 0.850 0.000
0.245 0.588 0.500
0.255 0.088 0.000
0.315 0.350 0.500
0.432 0.794 0.500
0.568 0.206 0.500
0.685 0.650 0.500
0.745 0.912 0.000
0.755 0.412 0.500
0.815 0.150 0.000
0.932 0.706 0.000
```

Question: Number 4 is which compound?
Answer: Ti5S8